[1]
VASP calculation (PBE-GGA) on a relaxed Sm2Ni4Ge3Pt crystal. Values from VASP.

Quantum ESPRESSO input file:
```
&SYSTEM
  ibrav = 0, nat = 10, ntyp = 4
/
ATOMIC_SPECIES
Sm 150.36 Sm.upf
Ni 58.69 Ni.upf
Ge 72.64 Ge.upf
Pt 195.08 Pt.upf
CELL_PARAMETERS angstrom
4.095 0.000 0.000
0.000 4.095 0.000
0.000 0.000 9.989
ATOMIC_POSITIONS angstrom
Sm 2.048 0.000 2.509
Sm 0.000 2.048 7.480
Ni 2.048 2.048 0.000
Ni 0.000 0.000 0.000
Ni 2.048 0.000 6.419
Ni 0.000 2.048 3.570
Ge 0.000 0.000 4.995
Ge 2.048 0.000 8.760
Ge 0.000 2.048 1.229
Pt 2.048 2.048 4.995
```

Properties
**Calculated formation energy**: -6.6 eV per formula unit
**DOS(E_F)**: 7.122 states/eV per cell
**Energy**: -0.217 hartree per atom


[2]
VASP calculation (PBE-GGA) on a relaxed LiAc2PrS5 crystal. Values from VASP.

Quantum ESPRESSO input file:
```
&SYSTEM
  ibrav = 0, nat = 18, ntyp = 4
/
ATOMIC_SPECIES
Li 6.94 Li.upf
Ac 227.00 Ac.upf
Pr 140.91 Pr.upf
S 32.06 S.upf
CELL_PARAMETERS angstrom
4.196 0.000 0.000
-2.098 8.594 0.000
0.000 0.000 12.407
ATOMIC_POSITIONS angstrom
Li 2.098 0.213 12.201
Li 0.000 8.381 5.997
Ac 2.098 6.504 9.928
Ac 0.000 1.907 8.491
Ac 0.000 2.090 3.725
Ac 2.098 6.687 2.288
Pr 2.098 5.230 6.210
Pr 0.000 3.365 0.006
S 0.000 6.236 0.004
S 2.098 3.350 10.469
S 2.098 0.045 9.760
S 0.000 5.013 8.180
S 2.098 7.858 7.015
S 2.098 2.358 6.208
S 0.000 5.245 4.265
S 0.000 8.550 3.557
S 2.098 3.582 1.976
S 0.000 0.736 0.812
```

Properties
**Formation energy without anion corrections**: -1.99 eV per atom
**Energy**: -0.218 hartree per atom


[3]
VASP calculation (PBE-GGA) on a relaxed CdHg2Te crystal. Values from VASP.

Quantum ESPRESSO input file:
```
&SYSTEM
  ibrav = 0, nat = 8, ntyp = 3
/
ATOMIC_SPECIES
Te 127.60 Te.upf
Hg 200.59 Hg.upf
Cd 112.41 Cd.upf
CELL_PARAMETERS angstrom
-8.115 -1.885 2.225
-2.100 -0.787 -8.326
-4.401 -4.259 -2.952
ATOMIC_POSITIONS angstrom
Te 0.000 0.000 0.000
Te -8.812 -3.740 -1.889
Hg -6.387 -2.330 -0.401
Hg -3.474 -1.803 -5.651
Hg -7.144 -4.200 -4.551
Hg -12.227 -5.527 -7.504
Cd -5.107 -1.336 -3.051
Cd -5.804 -3.191 -7.164
```

Properties
**Formation energy without anion corrections**: 0.01 eV per atom
**Distance to the lowest polymorph of the same formula**: 106 meV per atom
**DOS(E_F)**: 3.262 states/eV per cell
**Energy**: -0.042 hartree per atom